No. 1
MgPdSeBr2 at its PBEsol-relaxed geometry. Source: Alexandria, functional SCAN.

## Properties
* total DFT energy (no corrections): -97.36 eV/cell
* D(E_F): 3.1 states/eV per cell
* crystal system: tetragonal
* uncorrected formation energy: -0.123 eV/atom

Cell: 4.9685 4.9685 5.1219 Å, 90.00 90.00 90.00°
Last column: nearest neighbours and their distance in Å.
Space group P4/mmm (No. 123)
Unique sites:
Mg: 0.0000 0.0000 0.0000 (multiplicity 1)  4 Br 2.48, 2 Se 2.56
Pd: 0.5000 0.5000 0.5000 (multiplicity 1)  4 Se 3.51, 8 Br 3.57
Se: 0.0000 0.0000 0.5000 (multiplicity 1)  2 Mg 2.56
Br: 0.0000 0.5000 0.0000 (multiplicity 2)  2 Mg 2.48

***

No. 2
ZnIn3F at its PBEsol-relaxed geometry. Source: Alexandria, functional SCAN.

## Properties
* total DFT energy (no corrections): -118.10 eV/cell
* D(E_F): 2.2 states/eV per cell
* crystal system: cubic
* uncorrected formation energy: -0.177 eV/atom

Cell: 5.0849 5.0849 5.0849 Å, 90.00 90.00 90.00°
Last column: nearest neighbours and their distance in Å.
Space group Pm-3m (No. 221)
Unique sites:
Zn: 0.0000 0.0000 0.0000 (multiplicity 1)  6 In 2.54
In: 0.0000 0.0000 0.5000 (multiplicity 3)  2 Zn 2.54
F: 0.5000 0.5000 0.5000 (multiplicity 1)  12 In 3.60

***

No. 3
LiLa2 at its PBEsol-relaxed geometry. Source: Alexandria, functional SCAN.

## Properties
* total DFT energy (no corrections): -353.86 eV/cell
* D(E_F): 12.6 states/eV per cell
* relative energy among the computed polymorphs: 0 meV per atom
* crystal system: monoclinic
* energy relative to the elements: 0.0447 eV per atom

Cell: 12.1608 3.6326 8.4297 Å, 90.00 110.00 90.00°
Last column: nearest neighbours and their distance in Å.
Space group C2/m (No. 12)
Unique sites:
Li: 0.1843 0.0000 0.0491 (multiplicity 4)  2 Li 2.73
La: 0.0305 0.5000 0.2390 (multiplicity 4)  4 Li 3.38-3.42, 7 La 3.47-3.63
La: 0.1656 0.0000 0.6061 (multiplicity 4)  3 Li 3.38-3.66, 9 La 3.47-3.64

***

No. 4
LuSbRu2 at its PBEsol-relaxed geometry. Source: Alexandria, functional SCAN.

## Properties
* total DFT energy (no corrections): -659.44 eV/cell
* D(E_F): 0.5 states/eV per cell
* crystal system: cubic
* uncorrected formation energy: -0.651 eV/atom

Cell: 6.4155 6.4155 6.4155 Å, 90.00 90.00 90.00°
Last column: nearest neighbours and their distance in Å.
Space group Fm-3m (No. 225)
Unique sites:
Lu: 0.0000 0.0000 0.0000 (multiplicity 4)  8 Ru 2.78
Sb: 0.0000 0.0000 0.5000 (multiplicity 4)  8 Ru 2.78
Ru: 0.2500 0.2500 0.2500 (multiplicity 8)  4 Sb 2.78, 4 Lu 2.78